Record 1
{"formula": "ScGa6S8", "functional": "PBE", "state": "optimized geometry", "sg": "No. 148", "formation_energy_uncorrected_ev_per_atom": -0.467, "lattice": [[4.9402, 2.8522, 3.5729], [-4.9402, 2.8522, 3.5729], [0.0000, -5.7044, 3.5729]], "species": ["Sc", "Ga", "Ga", "Ga", "Ga", "Ga", "Ga", "S", "S", "S", "S", "S", "S", "S", "S"], "frac_coords": [[0.0000, 0.0000, 0.0000], [0.2436, 0.6176, 0.3358], [0.3358, 0.2436, 0.6176], [0.3824, 0.6642, 0.7564], [0.6176, 0.3358, 0.2436], [0.6642, 0.7564, 0.3824], [0.7564, 0.3824, 0.6642], [0.0857, 0.3573, 0.8101], [0.1899, 0.9143, 0.6427], [0.2609, 0.2609, 0.2609], [0.3573, 0.8101, 0.0857], [0.6427, 0.1899, 0.9143], [0.7391, 0.7391, 0.7391], [0.8101, 0.0857, 0.3573], [0.9143, 0.6427, 0.1899]]}


Record 2
{"formula": "Sc8GaS4", "functional": "PBE", "state": "optimized geometry", "sg": "No. 12", "formation_energy_uncorrected_ev_per_atom": -1.195, "lattice": [[8.5430, -1.7963, 0.0000], [8.5430, 1.7963, 0.0000], [-8.5388, 0.0000, 8.5458]], "species": ["Sc", "Sc", "Sc", "Sc", "Sc", "Sc", "Sc", "Sc", "Ga", "S", "S", "S", "S"], "frac_coords": [[0.0484, 0.0484, 0.2045], [0.3395, 0.3395, 0.4625], [0.3449, 0.3449, 0.8933], [0.3768, 0.3768, 0.2167], [0.6232, 0.6232, 0.7833], [0.6551, 0.6551, 0.1067], [0.6605, 0.6605, 0.5375], [0.9516, 0.9516, 0.7955], [0.0000, 0.0000, 0.5000], [0.1557, 0.1557, 0.9632], [0.3077, 0.3077, 0.6520], [0.6923, 0.6923, 0.3480], [0.8443, 0.8443, 0.0368]]}


Record 3
{"formula": "Sc2Ga2S", "functional": "PBE", "state": "optimized geometry", "sg": "No. 127", "formation_energy_uncorrected_ev_per_atom": -0.845, "lattice": [[6.7307, 0.0000, 0.0000], [0.0000, 6.7307, 0.0000], [0.0000, 0.0000, 4.4434]], "species": ["Sc", "Sc", "Sc", "Sc", "Ga", "Ga", "Ga", "Ga", "S", "S"], "frac_coords": [[0.1700, 0.3300, 0.0000], [0.3300, 0.8300, 0.0000], [0.6700, 0.1700, 0.0000], [0.8300, 0.6700, 0.0000], [0.1359, 0.6359, 0.5000], [0.3641, 0.1359, 0.5000], [0.6359, 0.8641, 0.5000], [0.8641, 0.3641, 0.5000], [0.0000, 0.0000, 0.0000], [0.5000, 0.5000, 0.0000]]}


Record 4
{"formula": "Sc2GaS", "functional": "PBE", "state": "optimized geometry", "sg": "No. 166", "formation_energy_uncorrected_ev_per_atom": -0.767, "lattice": [[1.7330, 1.0005, 8.6350], [-1.7330, 1.0005, 8.6350], [0.0000, -2.0011, 8.6350]], "species": ["Sc", "Sc", "Ga", "S"], "frac_coords": [[0.1078, 0.1078, 0.1078], [0.8922, 0.8922, 0.8922], [0.0000, 0.0000, 0.0000], [0.5000, 0.5000, 0.5000]]}


Record 5
{"formula": "Sc2GaS", "functional": "PBE", "state": "optimized geometry", "sg": "No. 225", "formation_energy_uncorrected_ev_per_atom": -0.678, "lattice": [[0.0000, 3.3391, 3.3391], [3.3391, 0.0000, 3.3391], [3.3391, 3.3391, 0.0000]], "species": ["Sc", "Sc", "Ga", "S"], "frac_coords": [[0.2500, 0.2500, 0.2500], [0.7500, 0.7500, 0.7500], [0.0000, 0.0000, 0.0000], [0.5000, 0.5000, 0.5000]]}


Record 6
{"formula": "Sc2GaS", "functional": "PBE", "state": "optimized geometry", "sg": "No. 63", "formation_energy_uncorrected_ev_per_atom": -1.264, "lattice": [[1.9534, -10.2735, 0.0000], [1.9534, 10.2735, 0.0000], [0.0000, 0.0000, 3.7628]], "species": ["Sc", "Sc", "Sc", "Sc", "Ga", "Ga", "S", "S"], "frac_coords": [[0.0686, 0.9314, 0.7500], [0.3163, 0.6837, 0.7500], [0.6837, 0.3163, 0.2500], [0.9314, 0.0686, 0.2500], [0.4571, 0.5429, 0.7500], [0.5429, 0.4571, 0.2500], [0.1914, 0.8086, 0.7500], [0.8086, 0.1914, 0.2500]]}